VASP calculation (PBE) on crystalline Nd5Sc4Au4 at its relaxed geometry.

Cell and atoms, written as CIF:
```
data_Nd5Sc4Au4
_chemical_formula_sum 'Nd10 Sc8 Au8'
_cell_length_a 13.4166
_cell_length_b 13.4166
_cell_length_c 3.8001
_cell_angle_alpha 90.00
_cell_angle_beta 90.00
_cell_angle_gamma 90.00
_space_group_name_H-M_alt 'I 4/m'
_space_group_IT_number 87
_space_group_name_Hall '-I 4'
loop_
_atom_site_label
_atom_site_type_symbol
_atom_site_fract_x
_atom_site_fract_y
_atom_site_fract_z
_atom_site_occupancy
Nd1 Nd 0.0000 0.0000 0.0000 1
Nd2 Nd 0.1418 0.7887 0.5000 1
Sc1 Sc 0.0738 0.3827 0.5000 1
Au1 Au 0.0460 0.2360 0.0000 1
```

Calculated values
- Calculated formation energy: -6.3 eV per formula unit
- Total energy: -137.202 eV per cell